# VPO6

VPO6 after structural relaxation (PBE+U, Alexandria).

Cell and atoms, written as CIF:
```
data_VPO6
_symmetry_space_group_name_H-M 'C 1 2/m 1'
_symmetry_Int_Tables_number 12
_cell_length_a 4.4703
_cell_length_b 9.4240
_cell_length_c 4.4914
_cell_angle_alpha 90.00
_cell_angle_beta 104.12
_cell_angle_gamma 90.00
loop_
_symmetry_equiv_pos_as_xyz
'x,y,z'
'-x,-y,-z'
'-x,y,-z'
'x,-y,z'
'x+1/2,y+1/2,z'
'-x+1/2,-y+1/2,-z'
'-x+1/2,y+1/2,-z'
'x+1/2,-y+1/2,z'
loop_
_atom_site_label
_atom_site_type_symbol
_atom_site_fract_x
_atom_site_fract_y
_atom_site_fract_z
V1 V 0.0000 0.0000 0.0000
P1 P 0.0000 0.5000 0.5000
O1 O 0.2220 0.3762 0.7264
O2 O 0.2390 0.5000 0.2657
```

Output
The value obtained for the total DFT energy (no corrections) is -6.507 eV/atom.